1.
Tb2SnS5 (PBE, relaxed); ΔE to the lowest computed polymorph = 0.73 eV per formula unit; SG = No. 63
1.0
2.6229 -6.6966 0.0000
2.6229 6.6966 0.0000
0.0000 0.0000 12.8989
Tb Sn S
4 2 10
Cartesian
2.6229 4.6744 7.3172
2.6229 4.6744 12.0311
2.6229 -4.6744 0.8678
2.6229 -4.6744 5.5817
2.6229 4.3755 3.2247
2.6229 -4.3755 9.6742
2.6229 6.0944 1.4278
2.6229 6.0944 5.0216
2.6229 3.0629 9.6742
2.6229 2.6876 1.1850
2.6229 2.6876 5.2644
2.6229 -2.6876 7.6345
2.6229 -2.6876 11.7139
2.6229 -3.0629 3.2247
2.6229 -6.0944 7.8773
2.6229 -6.0944 11.4710



2.
Tb2SnS (PBE, relaxed); ΔE to the lowest computed polymorph = 0.02 eV per formula unit; SG = No. 166; DOS at the Fermi energy = 0.4610 states/eV per atom
1.0
1.9448 1.1228 7.6872
-1.9448 1.1228 7.6872
0.0000 -2.2457 7.6872
Tb Sn S
2 1 1
Cartesian
0.0000 0.0000 5.4333
0.0000 0.0000 17.6283
0.0000 0.0000 0.0000
0.0000 0.0000 11.5308



3.
TbSnS3 (PBE, relaxed); SG = No. 148; DFT total energy = -53.320 eV for the cell shown; DOS at the Fermi energy = 0.7143 states/eV per atom
1.0
3.4554 1.9950 6.1452
-3.4554 1.9950 6.1452
0.0000 -3.9899 6.1452
Tb Sn S
2 2 6
Cartesian
0.0000 0.0000 2.7437
0.0000 0.0000 15.6920
0.0000 0.0000 6.4668
0.0000 0.0000 11.9689
-1.3889 -2.0008 7.6563
-2.4272 0.2024 10.7794
-1.0383 2.2032 7.6563
1.0383 -2.2032 10.7794
2.4272 -0.2024 7.6563
1.3889 2.0008 10.7794



4.
Tb2SnS (PBE, relaxed); ΔE to the lowest computed polymorph = 0.08 eV per formula unit; SG = No. 160; DOS at the Fermi energy = 0.6692 states/eV per atom
1.0
1.9036 1.0990 8.0213
-1.9036 1.0990 8.0213
0.0000 -2.1981 8.0213
Tb Sn S
2 1 1
Cartesian
0.0000 0.0000 0.0000
0.0000 0.0000 4.7583
0.0000 0.0000 18.4369
0.0000 0.0000 14.3920



5.
Tb6SnTe3S2 (PBE, relaxed); SG = No. 12; DFT total energy = -66.996 eV for the cell shown; DOS at the Fermi energy = 0.4737 states/eV per atom
1.0
3.6297 -6.2717 0.0000
3.6297 6.2717 0.0000
-2.4178 0.0000 7.1146
Tb Sn Te S
6 1 3 2
Cartesian
-0.0592 2.1989 5.5573
1.0808 0.0000 1.5146
-0.0592 -2.1989 5.5573
4.9008 2.1989 1.5574
3.7608 0.0000 5.6000
4.9008 -2.1989 1.5574
3.6297 0.0000 0.0000
-1.2089 0.0000 3.5573
2.4208 2.0086 3.5573
2.4208 -2.0086 3.5573
3.6297 4.1654 0.0000
3.6297 -4.1654 0.0000



6.
Tb4SnTe2S (PBE, relaxed); SG = No. 74; DFT total energy = -87.447 eV for the cell shown; DOS at the Fermi energy = 0.4351 states/eV per atom
1.0
-4.2562 4.3207 6.0669
4.2562 -4.3207 6.0669
4.2562 4.3207 -6.0669
Tb Sn Te S
8 2 4 2
Cartesian
2.0653 2.1604 0.1562
2.1909 -2.1604 6.2232
0.0000 0.2360 2.9832
4.2562 0.2360 3.0837
0.0000 4.0847 2.9832
4.2562 4.0847 3.0837
2.0653 6.4811 -0.1562
2.1909 2.1604 5.9107
0.0000 0.0000 0.0000
0.0000 4.3207 0.0000
2.1281 2.1604 -3.0335
2.1281 -2.1604 3.0335
4.2562 0.0000 0.0000
0.0000 0.0000 6.0669
-2.1281 2.1604 3.0335
2.1281 2.1604 3.0335



7.
Tb2Tl3SnS6 (PBE, relaxed); SG = No. 12; DFT total energy = -58.321 eV for the cell shown; DOS at the Fermi energy = 0.3338 states/eV per atom
1.0
3.5024 -6.0720 0.0000
3.5024 6.0720 0.0000
-2.3240 0.0000 7.4682
Tb Tl Sn S
2 3 1 6
Cartesian
3.5024 4.0500 0.0000
3.5024 -4.0500 0.0000
-1.1620 0.0000 3.7341
2.3404 2.0649 3.7341
2.3404 -2.0649 3.7341
3.5024 0.0000 0.0000
0.0212 2.0079 5.9912
1.1886 0.0000 1.4948
0.0212 -2.0079 5.9912
4.6596 2.0079 1.4770
3.4922 0.0000 5.9734
4.6596 -2.0079 1.4770



8.
Tb3Tl3SnS8 (PBE, relaxed); SG = No. 166; DFT total energy = -76.675 eV for the cell shown; DOS at the Fermi energy = 0.0326 states/eV per atom
1.0
3.9855 2.3010 7.6382
-3.9855 2.3010 7.6382
0.0000 -4.6021 7.6382
Tb Tl Sn S
3 3 1 8
Cartesian
-1.9928 -1.1505 7.6382
-1.9927 1.1505 15.2764
0.0000 2.3010 7.6382
-3.9855 0.0000 11.4573
-1.9927 1.1505 3.8191
1.9928 1.1505 3.8191
0.0000 0.0000 0.0000
0.0000 -2.4201 9.1042
-2.0959 1.2100 9.1042
-2.0959 -1.2100 13.8104
0.0000 0.0000 6.1343
0.0000 0.0000 16.7803
2.0959 1.2100 9.1042
2.0959 -1.2101 13.8104
0.0000 2.4201 13.8104



9.
TbTlSnS3 (PBE, relaxed); SG = No. 11; DFT total energy = -60.158 eV for the cell shown
1.0
7.9435 0.0000 0.0000
0.0000 3.9990 0.0000
-3.8782 0.0000 12.7817
Tb Tl Sn S
2 2 2 6
Cartesian
-1.3966 0.9998 4.7318
5.4618 2.9993 8.0498
1.3419 0.9998 8.1724
2.7234 2.9993 4.6092
-0.4680 2.9993 1.6074
4.5333 0.9998 11.1742
-1.3884 0.9998 9.5930
0.6997 0.9998 2.9035
-0.2988 2.9993 6.3138
4.3641 0.9998 6.4678
3.3656 2.9993 9.8782
5.4537 2.9993 3.1887



10.
Tb3Tl4SnS8 (PBE, relaxed); SG = No. 166; DFT total energy = -79.553 eV for the cell shown; DOS at the Fermi energy = 0.2169 states/eV per atom
1.0
4.0456 2.3358 7.5021
-4.0456 2.3358 7.5021
0.0000 -4.6715 7.5021
Tb Tl Sn S
3 4 1 8
Cartesian
-2.0228 -1.1679 7.5021
-2.0228 1.1679 15.0042
0.0000 2.3358 7.5021
-4.0456 0.0000 11.2531
-2.0228 1.1679 3.7510
2.0228 1.1679 3.7510
0.0000 0.0000 11.2531
0.0000 0.0000 0.0000
0.0000 -2.3550 8.9833
-2.0395 1.1775 8.9833
-2.0395 -1.1775 13.5229
0.0000 0.0000 6.0107
0.0000 0.0000 16.4956
2.0395 1.1775 8.9833
2.0395 -1.1775 13.5230
0.0000 2.3550 13.5230



11.
TcSn2S (PBE, relaxed); ΔE to the lowest computed polymorph = 0.49 eV per formula unit; SG = No. 225; DOS at the Fermi energy = 1.0309 states/eV per atom
1.0
0.0000 3.4537 3.4537
3.4537 0.0000 3.4537
3.4537 3.4537 0.0000
Tc Sn S
1 2 1
Cartesian
0.0000 0.0000 0.0000
1.7268 1.7268 1.7268
5.1805 5.1805 5.1805
3.4537 3.4537 3.4537



12.
TcSnS2 (PBE, relaxed); ΔE to the lowest computed polymorph = 3.20 eV per formula unit; SG = No. 166; DOS at the Fermi energy = 0.9417 states/eV per atom
1.0
1.7571 1.0145 7.9147
-1.7571 1.0145 7.9147
0.0000 -2.0289 7.9147
Tc Sn S
1 1 2
Cartesian
0.0000 0.0000 0.0000
0.0000 0.0000 11.8720
0.0000 0.0000 2.2340
0.0000 0.0000 21.5100